La5TlOs after structural relaxation, computed with PBE.

Energy above the most stable polymorph in this dataset: 0.00 eV per formula unit
Total DFT energy (no corrections): -5.64 eV per atom
Total magnetization: 0.000 μB/atom
Energy of formation from the pure elements: -177 meV per atom

Cell lengths 5.086, 5.086, 8.380 Å; angles 90.00, 90.00, 90.00 degrees
Atoms (fractional coordinates):
La1 0.000 0.500 0.802
La2 0.000 0.500 0.198
La3 0.500 0.000 0.802
La4 0.500 0.000 0.198
La5 0.500 0.500 0.500
Tl1 0.000 0.000 0.500
Os1 0.500 0.500 0.000